No. 1
Density functional theory data (GGA-PBE) for crystalline Nd2Ho7Er4 at its relaxed geometry.

Summary:
Density of states at the Fermi level (states/eV per cell): 17.71
Spin magnetization (μB/cell): 0.00
DFT formation energy (eV/atom): 0.193

a b c (Å): 6.0430 6.0430 13.2719
angles (deg): 90.00 90.00 120.00
Space group P-31m (No. 162)
Unique sites:
1 Nd 0.3333 0.6667 0.0000
2 Ho 0.0000 0.0000 0.0000
3 Ho 0.0000 0.3526 0.2175
4 Er 0.0000 0.0000 0.3952
5 Er 0.3333 0.6667 0.5000

No. 2
Density functional theory data (GGA-PBE) for crystalline Nd12HoEr7 at its relaxed geometry.

Summary:
Density of states at the Fermi level (states/eV per cell): 85.71
Spin magnetization (μB/cell): 0.00
Offset from the most stable computed form (eV per atom): 0.0112
DFT formation energy (eV/atom): 0.234

a b c (Å): 19.6421 19.6421 6.2133
angles (deg): 90.00 90.00 120.00
Space group R-3 (No. 148, hexagonal axes)
Unique sites:
1 Nd 0.0003 0.4127 0.0005
2 Nd 0.0982 0.5495 0.4650
3 Ho 0.0000 0.0000 0.5000
4 Er 0.0000 0.0000 0.0000
5 Er 0.0807 0.9184 0.2940

No. 3
Density functional theory data (GGA-PBE) for crystalline NdHoEr2 at its relaxed geometry.

Summary:
Density of states at the Fermi level (states/eV per cell): 16.24
Spin magnetization (μB/cell): 0.00
Offset from the most stable computed form (eV per atom): 0.0206
DFT formation energy (eV/atom): 0.022

a b c (Å): 3.5564 3.5564 34.6750
angles (deg): 90.00 90.00 120.00
Space group R-3m (No. 166, hexagonal axes)
Unique sites:
1 Nd 0.0000 0.0000 0.0000
2 Ho 0.0000 0.0000 0.5000
3 Er 0.0000 0.0000 0.2486

No. 4
Density functional theory data (GGA-PBE) for crystalline NdHo7Er4 at its relaxed geometry.

Summary:
Density of states at the Fermi level (states/eV per cell): 15.64
Spin magnetization (μB/cell): 0.00
Offset from the most stable computed form (eV per atom): 0.0000
DFT formation energy (eV/atom): -0.002

a b c (Å): 6.1614 7.1200 8.7649
angles (deg): 90.02 103.55 90.01
Space group P-1 (No. 2)
Unique sites:
1 Nd 0.0000 0.0000 0.0000
2 Ho 0.0000 0.5000 0.0000
3 Ho 0.2227 0.0004 0.6650
4 Ho 0.2790 0.7484 0.3358
5 Ho 0.5000 0.2512 0.0002
6 Er 0.2210 0.5002 0.6652
7 Er 0.2785 0.2513 0.3355